Below is a relaxed structure of SrMn2Co, with properties calculated at the PBE level.

Calculated values
Excess energy over the best structure of this formula in the dataset = 0 meV/atom
ρ = 5.21 g cm⁻³
ΔE_f = 0.303 eV/atom

Cell and atoms, written as CIF:
```
data_SrMn2Co
_chemical_formula_sum 'Sr3 Mn6 Co3'
_symmetry_space_group_name_H-M 'R 3 m'
_symmetry_Int_Tables_number 160
_symmetry_space_group_name_Hall 'R 3 -2"'
_cell_length_a 4.0979
_cell_length_b 4.0979
_cell_length_c 16.8488
_cell_angle_alpha 90.00
_cell_angle_beta 90.00
_cell_angle_gamma 120.00
loop_
_atom_site_label
_atom_site_type_symbol
_atom_site_fract_x
_atom_site_fract_y
_atom_site_fract_z
Sr1 Sr 0.0000 0.0000 0.0000
Mn1 Mn 0.0000 0.0000 0.5133
Mn2 Mn 0.0000 0.0000 0.8074
Co1 Co 0.0000 0.0000 0.1930
```



Below is a relaxed structure of TmCo6Sn12, with properties calculated at the PBE level.

Calculated values
ρ = 8.30 g cm⁻³
ΔE_f = 0.074 eV/atom

Cell and atoms, written as CIF:
```
data_TmCo6Sn12
_chemical_formula_sum 'Tm3 Co18 Sn36'
_symmetry_space_group_name_H-M 'R -3 m'
_symmetry_Int_Tables_number 166
_symmetry_space_group_name_Hall '-R 3 2"'
_cell_length_a 12.3979
_cell_length_b 12.3979
_cell_length_c 8.7783
_cell_angle_alpha 90.00
_cell_angle_beta 90.00
_cell_angle_gamma 120.00
loop_
_atom_site_label
_atom_site_type_symbol
_atom_site_fract_x
_atom_site_fract_y
_atom_site_fract_z
Tm1 Tm 0.0000 0.0000 0.0000
Co1 Co 0.0563 0.5282 0.2518
Sn1 Sn 0.0000 0.3773 0.5000
Sn2 Sn 0.0854 0.1708 0.3188
```



Below is a relaxed structure of HfPdN, with properties calculated at the PBE level.

Calculated values
Formation energy from raw total energies = -1122 meV/atom
ρ = 11.49 g cm⁻³

Cell and atoms, written as CIF:
```
data_HfPdN
_chemical_formula_sum 'Hf4 Pd4 N4'
_symmetry_space_group_name_H-M 'I 4/m m m'
_symmetry_Int_Tables_number 139
_symmetry_space_group_name_Hall '-I 4 2'
_cell_length_a 3.104
_cell_length_b 3.104
_cell_length_c 17.936
_cell_angle_alpha 90.00
_cell_angle_beta 90.00
_cell_angle_gamma 90.00
loop_
_atom_site_label
_atom_site_type_symbol
_atom_site_fract_x
_atom_site_fract_y
_atom_site_fract_z
Hf1 Hf 0.000 0.000 0.178
Pd1 Pd 0.000 0.000 0.429
N1 N 0.000 0.000 0.302
```



Below is a relaxed structure of BaZn2AgIr, with properties calculated at the PBE level.

Calculated values
ρ = 7.47 g cm⁻³
ΔE_f = -0.141 eV/atom

Cell and atoms, written as CIF:
```
data_BaZn2AgIr
_chemical_formula_sum 'Ba1 Zn2 Ag1 Ir1'
_symmetry_space_group_name_H-M 'P 4/m m m'
_symmetry_Int_Tables_number 123
_symmetry_space_group_name_Hall '-P 4 2'
_cell_length_a 4.873
_cell_length_b 4.873
_cell_length_c 5.319
_cell_angle_alpha 90.00
_cell_angle_beta 90.00
_cell_angle_gamma 90.00
loop_
_atom_site_label
_atom_site_type_symbol
_atom_site_fract_x
_atom_site_fract_y
_atom_site_fract_z
Ba1 Ba 0.000 0.000 0.000
Zn1 Zn 0.000 0.500 0.500
Ag1 Ag 0.500 0.500 0.000
Ir1 Ir 0.500 0.500 0.500
```



Below is a relaxed structure of Cr2Si, with properties calculated at the PBE level.

Calculated values
Formation energy from raw total energies = -157 meV/atom
ρ = 6.31 g cm⁻³

Cell and atoms, written as CIF:
```
data_Cr2Si
_chemical_formula_sum 'Cr2 Si1'
_symmetry_space_group_name_H-M 'P -3 m 1'
_symmetry_Int_Tables_number 164
_symmetry_space_group_name_Hall '-P 3 2"'
_cell_length_a 3.9663
_cell_length_b 3.9663
_cell_length_c 2.5516
_cell_angle_alpha 90.00
_cell_angle_beta 90.00
_cell_angle_gamma 120.00
loop_
_atom_site_label
_atom_site_type_symbol
_atom_site_fract_x
_atom_site_fract_y
_atom_site_fract_z
Cr1 Cr 0.3333 0.6667 0.1345
Si1 Si 0.0000 0.0000 0.5000
```



Below is a relaxed structure of SrLiV, with properties calculated at the PBE level.

Calculated values
Excess energy over the best structure of this formula in the dataset = 66 meV/atom
ρ = 2.90 g cm⁻³
ΔE_f = 0.518 eV/atom

Cell and atoms, written as CIF:
```
data_SrLiV
_chemical_formula_sum 'Sr2 Li2 V2'
_symmetry_space_group_name_H-M 'P -1'
_symmetry_Int_Tables_number 2
_symmetry_space_group_name_Hall '-P 1'
_cell_length_a 5.591
_cell_length_b 5.763
_cell_length_c 6.535
_cell_angle_alpha 78.45
_cell_angle_beta 64.72
_cell_angle_gamma 61.05
loop_
_atom_site_label
_atom_site_type_symbol
_atom_site_fract_x
_atom_site_fract_y
_atom_site_fract_z
Sr1 Sr 0.049 0.192 0.211
Li1 Li 0.361 0.518 0.262
V1 V 0.380 0.127 0.612
```



Below is a relaxed structure of Pr2Nd3Y6Er, with properties calculated at the PBE level.

Calculated values
ρ = 5.88 g cm⁻³
ΔE_f = 0.011 eV/atom

Cell and atoms, written as CIF:
```
data_Pr2Nd3Y6Er
_chemical_formula_sum 'Pr4 Nd6 Y12 Er2'
_symmetry_space_group_name_H-M 'C 1 2/m 1'
_symmetry_Int_Tables_number 12
_symmetry_space_group_name_Hall '-C 2y'
_cell_length_a 6.275
_cell_length_b 10.865
_cell_length_c 11.916
_cell_angle_alpha 90.00
_cell_angle_beta 100.07
_cell_angle_gamma 90.00
loop_
_atom_site_label
_atom_site_type_symbol
_atom_site_fract_x
_atom_site_fract_y
_atom_site_fract_z
Pr1 Pr 0.000 0.166 0.000
Nd1 Nd 0.000 0.000 0.500
Nd2 Nd 0.000 0.333 0.500
Y1 Y 0.249 0.334 0.249
Y2 Y 0.249 0.500 0.750
Er1 Er 0.000 0.500 0.000
```



Below is a relaxed structure of YAg2Br, with properties calculated at the PBE level.

Calculated values
Excess energy over the best structure of this formula in the dataset = 156 meV/atom
Formation energy from raw total energies = -303 meV/atom
ρ = 7.02 g cm⁻³

Cell and atoms, written as CIF:
```
data_YAg2Br
_chemical_formula_sum 'Y2 Ag4 Br2'
_symmetry_space_group_name_H-M 'I -4 m 2'
_symmetry_Int_Tables_number 119
_symmetry_space_group_name_Hall 'I -4 -2'
_cell_length_a 5.042
_cell_length_b 5.042
_cell_length_c 7.154
_cell_angle_alpha 90.00
_cell_angle_beta 90.00
_cell_angle_gamma 90.00
loop_
_atom_site_label
_atom_site_type_symbol
_atom_site_fract_x
_atom_site_fract_y
_atom_site_fract_z
Y1 Y 0.000 0.000 0.000
Ag1 Ag 0.000 0.000 0.500
Ag2 Ag 0.000 0.500 0.750
Br1 Br 0.000 0.500 0.250
```



Below is a relaxed structure of Al4Cu8Ag, with properties calculated at the PBE level.

Calculated values
ρ = 6.80 g cm⁻³
ΔE_f = -0.104 eV/atom

Cell and atoms, written as CIF:
```
data_Al4Cu8Ag
_chemical_formula_sum 'Al4 Cu8 Ag1'
_symmetry_space_group_name_H-M 'P m m 2'
_symmetry_Int_Tables_number 25
_symmetry_space_group_name_Hall 'P 2 -2'
_cell_length_a 2.812
_cell_length_b 4.131
_cell_length_c 15.236
_cell_angle_alpha 90.00
_cell_angle_beta 90.00
_cell_angle_gamma 90.00
loop_
_atom_site_label
_atom_site_type_symbol
_atom_site_fract_x
_atom_site_fract_y
_atom_site_fract_z
Al1 Al 0.000 0.000 0.000
Al2 Al 0.000 0.500 0.171
Al3 Al 0.500 0.000 0.419
Al4 Al 0.500 0.500 0.614
Cu1 Cu 0.000 0.000 0.277
Cu2 Cu 0.000 0.000 0.558
Cu3 Cu 0.000 0.500 0.461
Cu4 Cu 0.000 0.500 0.878
Cu5 Cu 0.500 0.000 0.137
Cu6 Cu 0.500 0.000 0.868
Cu7 Cu 0.500 0.500 0.026
Cu8 Cu 0.500 0.500 0.316
Ag1 Ag 0.000 0.000 0.724
```



Below is a relaxed structure of Cr2CdCu, with properties calculated at the PBE level.

Calculated values
ρ = 7.60 g cm⁻³
ΔE_f = 0.389 eV/atom

Cell and atoms, written as CIF:
```
data_Cr2CdCu
_chemical_formula_sum 'Cr4 Cd2 Cu2'
_symmetry_space_group_name_H-M 'C 1 m 1'
_symmetry_Int_Tables_number 8
_symmetry_space_group_name_Hall 'C -2y'
_cell_length_a 9.168
_cell_length_b 3.081
_cell_length_c 4.627
_cell_angle_alpha 90.00
_cell_angle_beta 110.68
_cell_angle_gamma 90.00
loop_
_atom_site_label
_atom_site_type_symbol
_atom_site_fract_x
_atom_site_fract_y
_atom_site_fract_z
Cr1 Cr 0.000 0.000 0.000
Cr2 Cr 0.223 0.500 0.174
Cd1 Cd 0.224 0.000 0.675
Cu1 Cu 0.470 0.000 0.463
```



Below is a relaxed structure of TmTh2Co2, with properties calculated at the PBE level.

Calculated values
Excess energy over the best structure of this formula in the dataset = 27 meV/atom
ρ = 10.20 g cm⁻³
ΔE_f = -0.230 eV/atom

Cell and atoms, written as CIF:
```
data_TmTh2Co2
_chemical_formula_sum 'Tm2 Th4 Co4'
_symmetry_space_group_name_H-M 'I m m m'
_symmetry_Int_Tables_number 71
_symmetry_space_group_name_Hall '-I 2 2'
_cell_length_a 4.341
_cell_length_b 5.133
_cell_length_c 10.967
_cell_angle_alpha 90.00
_cell_angle_beta 90.00
_cell_angle_gamma 90.00
loop_
_atom_site_label
_atom_site_type_symbol
_atom_site_fract_x
_atom_site_fract_y
_atom_site_fract_z
Tm1 Tm 0.000 0.000 0.000
Th1 Th 0.000 0.000 0.325
Co1 Co 0.000 0.500 0.353
```